VASP calculation (GGA-PBE) on a relaxed structure of Gd3InO6.

a = 7.181 Å, b = 7.181 Å, c = 5.583 Å
α = 90.00°, β = 90.00°, γ = 102.77°
Fractional positions:
Gd 0.101 0.899 0.500
Gd 0.199 0.411 0.555
Gd 0.411 0.199 0.055
Gd 0.589 0.801 0.555
Gd 0.801 0.589 0.055
Gd 0.899 0.101 0.000
In 0.317 0.683 0.070
In 0.683 0.317 0.570
O 0.069 0.601 0.276
O 0.142 0.179 0.276
O 0.179 0.142 0.776
O 0.279 0.721 0.716
O 0.399 0.931 0.276
O 0.476 0.524 0.271
O 0.524 0.476 0.771
O 0.601 0.069 0.776
O 0.721 0.279 0.216
O 0.821 0.858 0.276
O 0.858 0.821 0.776
O 0.931 0.399 0.776

Output
Final energy   -7.64 eV per atom
Symmetry   Cmc2_1
Density   8.07 g/cm3